YAlCd: optimized geometry, PBE.

The structure in POSCAR format:
```
YAlCd
1.0
3.6681 0.0000 0.0000
-1.8340 3.1767 0.0000
0.0000 0.0000 6.5631
Y Al Cd
1 1 1
Cartesian
0.0000 0.0000 0.0000
1.8340 1.0589 2.2330
0.0000 2.1178 4.1253
```

Summary:
* VASP energy: -3.717 eV/atom